Compound: KCrP2S8
Source: Alexandria via LeMat-Bulk
Functional: PBE
Structure: relaxed

Unit cell a=5.8496 b=5.8496 c=9.6233 alpha=90.00 beta=90.00 gamma=120.00
Closest atoms and distances in Å follow each position.
Element x y z (fractional)
K 0.0000 0.0000 0.0000  6 S 3.49
Cr 0.0000 0.0000 0.5000  6 S 2.34
P 0.3333 0.6667 0.7023  4 S 1.99-2.09
P 0.6667 0.3333 0.2977  4 S 1.99-2.09
S 0.0094 0.6719 0.3646  1 P 2.09, 1 Cr 2.34
S 0.3281 0.3376 0.3646  1 P 2.09, 1 Cr 2.34
S 0.3333 0.6667 0.9090  1 P 1.99
S 0.3376 0.0094 0.6354  1 P 2.09, 1 Cr 2.34
S 0.6624 0.9906 0.3646  1 P 2.09, 1 Cr 2.34
S 0.6667 0.3333 0.0910  1 P 1.99
S 0.6719 0.6624 0.6354  1 P 2.09, 1 Cr 2.34
S 0.9906 0.3281 0.6354  1 P 2.09, 1 Cr 2.34

Calculated values
formation energy without anion corrections: -4.12 eV/f.u.
crystal system: trigonal
calculated volume: 285.2 Å³/f.u.